1.
This record from Alexandria describes an optimized crystal structure of Pm3Hg4Au. The functional is GGA-PBE.

Lattice parameters (Å, degrees): 5.3355 5.3403 11.0994 136.22 103.91 90.00
Last column: nearest neighbours and their distance in Å.
Fractional positions:
Pm 0.0000 0.5000 0.0000  8 Hg 3.17
Pm 0.2711 0.3136 0.5422  8 Hg 3.10-3.46, 1 Au 3.30
Pm 0.7289 0.6864 0.4578  8 Hg 3.10-3.46, 1 Au 3.30
Hg 0.6190 0.8569 0.2381  6 Pm 3.10-3.45, 2 Au 3.17, 1 Hg 3.43
Hg 0.3810 0.1431 0.7619  6 Pm 3.10-3.45, 2 Au 3.17, 1 Hg 3.43
Hg 0.8813 0.6436 0.7627  6 Pm 3.10-3.46, 2 Au 3.17, 1 Hg 3.42
Hg 0.1187 0.3564 0.2373  6 Pm 3.10-3.46, 2 Au 3.17, 1 Hg 3.42
Au 0.5000 0.0000 0.0000  8 Hg 3.17, 2 Pm 3.30

Values from the calculation:
Total energy = -2.798 eV per atom
Magnetization = 0.00 Bohr magnetons per cell
Formation enthalpy at 0 K = -3.65 eV per formula unit
SG = I4/mmm (139)
Density of states at the Fermi level = 0.664 states/eV per atom

=====

2.
This record from Alexandria describes an optimized crystal structure of Na2BiPt. The functional is GGA-PBE.

Lattice parameters (Å, degrees): 5.7922 6.0931 6.0931 108.88 90.00 90.00
Last column: nearest neighbours and their distance in Å.
Fractional positions:
Na 0.7500 0.9675 0.6067  2 Pt 3.07, 2 Na 3.25, 4 Bi 3.27-3.41
Na 0.2500 0.0325 0.3933  2 Pt 3.07, 2 Na 3.25, 4 Bi 3.27-3.41
Na 0.2500 0.3933 0.0325  2 Pt 3.07, 2 Na 3.25, 4 Bi 3.27-3.41
Na 0.7500 0.6067 0.9675  2 Pt 3.07, 2 Na 3.25, 4 Bi 3.27-3.41
Bi 0.7500 0.1754 0.1754  2 Pt 2.72
Bi 0.2500 0.8246 0.8246  2 Pt 2.72
Pt 0.0000 0.5000 0.5000  2 Bi 2.72, 2 Pt 2.90
Pt 0.5000 0.5000 0.5000  2 Bi 2.72, 2 Pt 2.90

Values from the calculation:
Total energy = -3.436 eV per atom
Magnetization = 0.00 Bohr magnetons per cell
Formation enthalpy at 0 K = -1.18 eV per formula unit
SG = Cmcm (63)
Density of states at the Fermi level = 0.506 states/eV per atom

=====

3.
This record from Alexandria describes an optimized crystal structure of Pu2Cd2BRh4. The functional is GGA-PBE.

Lattice parameters (Å, degrees): 5.9676 5.9676 5.9676 98.52 115.21 115.21
Last column: nearest neighbours and their distance in Å.
Fractional positions:
Pu 0.5000 0.7500 0.2500  8 Rh 2.99, 4 Cd 3.23
Pu 0.5000 0.2500 0.7500  8 Rh 2.99, 4 Cd 3.23
Cd 0.0000 0.6921 0.6921  1 B 2.40
Cd 0.0000 0.3079 0.3079  1 B 2.40
B 0.0000 0.0000 0.0000  4 Rh 2.08
Rh 0.0000 0.7695 0.2305  1 B 2.08
Rh 0.5391 0.7695 0.7695  1 B 2.08
Rh 0.0000 0.2305 0.7695  1 B 2.08
Rh 0.4609 0.2305 0.2305  1 B 2.08

Values from the calculation:
Total energy = -7.700 eV per atom
Magnetization = 10.36 Bohr magnetons per cell
Formation enthalpy at 0 K = -2.72 eV per formula unit
SG = I4/mmm (139)
Density of states at the Fermi level = 2.909 states/eV per atom

=====

Repeat the third record exactly.
This record from Alexandria describes an optimized crystal structure of Pu2Cd2BRh4. The functional is GGA-PBE.

Lattice parameters (Å, degrees): 5.9676 5.9676 5.9676 98.52 115.21 115.21
Last column: nearest neighbours and their distance in Å.
Fractional positions:
Pu 0.5000 0.7500 0.2500  8 Rh 2.99, 4 Cd 3.23
Pu 0.5000 0.2500 0.7500  8 Rh 2.99, 4 Cd 3.23
Cd 0.0000 0.6921 0.6921  1 B 2.40
Cd 0.0000 0.3079 0.3079  1 B 2.40
B 0.0000 0.0000 0.0000  4 Rh 2.08
Rh 0.0000 0.7695 0.2305  1 B 2.08
Rh 0.5391 0.7695 0.7695  1 B 2.08
Rh 0.0000 0.2305 0.7695  1 B 2.08
Rh 0.4609 0.2305 0.2305  1 B 2.08

Values from the calculation:
Total energy = -7.700 eV per atom
Magnetization = 10.36 Bohr magnetons per cell
Formation enthalpy at 0 K = -2.72 eV per formula unit
SG = I4/mmm (139)
Density of states at the Fermi level = 2.909 states/eV per atom

=====

What is the formula in the second record? Na2BiPt

=====

Which of these has the lowest formation enthalpy at 0 K? Pm3Hg4Au

=====

Among the records above, which one has the highest magnetization? Pu2Cd2BRh4